DFT (PBE) results for a relaxed K3ClF2 crystal.

extended XYZ file:
```
12
Lattice="-3.414 -2.263 -0.669 2.758 -3.227 -3.160 3.106 -7.857 10.736" Properties=species:S:1:pos:R:3 pbc="T T T"
K -1.092 -4.471 1.390
K 2.775 -8.809 9.205
K 1.555 -5.721 4.986
K 3.543 -8.877 5.517
K 0.896 -7.626 1.922
K -0.325 -4.539 -2.298
Cl 1.992 -4.951 0.146
Cl 0.458 -8.396 6.761
F 4.127 -10.353 7.529
F -1.677 -2.995 -0.622
F 2.962 -7.405 3.501
F -0.511 -5.943 3.406
```

Values from the calculation:
The magnetic moment comes out at 0.43 Bohr magnetons per cell. The calculation puts the offset from the most stable computed form at 0.0 kJ/mol of atoms.

DFT (PBE) results for a relaxed KCl2F crystal.

extended XYZ file:
```
4
Lattice="0.843 -5.584 -1.574 3.309 -4.233 2.344 -1.438 -5.033 2.640" Properties=species:S:1:pos:R:3 pbc="T T T"
Cl 2.206 -12.074 2.772
Cl 0.507 -2.775 0.637
K 0.000 0.000 0.000
F 1.357 -7.425 1.705
```

Values from the calculation:
Its total energy is -0.175 Ry/atom. The magnetic moment comes out at 0.00 Bohr magnetons per cell.

> Look up the magnetic moment of the second one.

0.00 Bohr magnetons per cell

> Which formula does entry 2 have?

KCl2F

Please write out number 2 again, unchanged.
DFT (PBE) results for a relaxed KCl2F crystal.

extended XYZ file:
```
4
Lattice="0.843 -5.584 -1.574 3.309 -4.233 2.344 -1.438 -5.033 2.640" Properties=species:S:1:pos:R:3 pbc="T T T"
Cl 2.206 -12.074 2.772
Cl 0.507 -2.775 0.637
K 0.000 0.000 0.000
F 1.357 -7.425 1.705
```

Values from the calculation:
Its total energy is -0.175 Ry/atom. The magnetic moment comes out at 0.00 Bohr magnetons per cell.